1.
The following is a PBE calculation of crystalline Hg2Pb2Au at its relaxed geometry, from the Alexandria database.

Results
For the volume, the calculation gives 28.72 Å³ per atom. The distance to the lowest polymorph of the same formula is 0.00 eV/f.u.

Unit cell a=8.1281 b=4.7084 c=15.2900 alpha=90.00 beta=100.98 gamma=90.00
Closest atoms and distances in Å follow each position.
Space group C2/c (No. 15)
Asymmetric unit:
Hg: 0.0990 0.2501 0.0475 [8 per cell]  3 Hg 3.06-3.08, 3 Pb 3.27-3.30
Pb: 0.1939 0.2492 0.3294 [8 per cell]  3 Au 2.96-2.97, 3 Hg 3.27-3.30
Au: 0.0000 0.2508 0.7500 [4 per cell]  6 Pb 2.96-2.97

2.
The following is a PBE calculation of crystalline HgPb3Au at its relaxed geometry, from the Alexandria database.

Results
For the volume, the calculation gives 28.80 Å³ per atom. The distance to the lowest polymorph of the same formula is 0.16 eV/f.u.

Unit cell a=12.5342 b=4.4619 c=10.6584 alpha=90.00 beta=104.93 gamma=90.00
Closest atoms and distances in Å follow each position.
Space group C2/m (No. 12)
Asymmetric unit:
Hg: 0.1437 0.0000 0.4309 [4 per cell]  6 Pb 3.26-3.51, 2 Hg 3.50
Pb: 0.0524 0.0000 0.8714 [4 per cell]  3 Au 2.98-3.19, 1 Pb 3.33
Pb: 0.1045 0.5000 0.6374 [4 per cell]  1 Au 2.94, 2 Hg 3.26
Pb: 0.1776 0.5000 0.2022 [4 per cell]  3 Au 3.03-3.21
Au: 0.2159 0.5000 0.9159 [4 per cell]  2 Au 2.85, 6 Pb 2.94-3.19

3.
The following is a PBE calculation of crystalline Hg2PbAu at its relaxed geometry, from the Alexandria database.

Results
For the volume, the calculation gives 26.33 Å³ per atom. The value obtained for the total energy is -1.841 eV/atom.

Unit cell a=8.3435 b=8.3435 c=6.0510 alpha=90.00 beta=90.00 gamma=90.00
Closest atoms and distances in Å follow each position.
Space group I-42d (No. 122)
Asymmetric unit:
Hg: 0.2217 0.7500 0.1250 [8 per cell]  2 Au 2.89, 2 Hg 3.06, 2 Pb 3.21
Pb: 0.0000 0.0000 0.5000 [4 per cell]  2 Au 3.03, 4 Hg 3.21
Au: 0.0000 0.0000 0.0000 [4 per cell]  4 Hg 2.89, 2 Pb 3.03

4.
The following is a PBE calculation of crystalline Hg4Pb3Au2 at its relaxed geometry, from the Alexandria database.

Results
For the volume, the calculation gives 26.58 Å³ per atom. The value obtained for the total energy is -2.074 eV/atom.

Unit cell a=12.0861 b=10.2365 c=7.8800 alpha=90.00 beta=101.09 gamma=90.00
Closest atoms and distances in Å follow each position.
Space group C2/c (No. 15)
Asymmetric unit:
Hg: 0.0591 0.2328 0.0985 [8 per cell]  2 Au 2.93-2.97, 2 Hg 3.01-3.22, 1 Pb 3.26
Hg: 0.1845 0.3528 0.5666 [8 per cell]  2 Au 2.90-3.02, 2 Hg 2.95-3.22, 2 Pb 3.14-3.18
Pb: 0.0000 0.4850 0.7500 [4 per cell]  2 Au 3.06, 4 Hg 3.18-3.26
Pb: 0.1314 0.0749 0.6995 [8 per cell]  2 Au 2.97-3.02, 2 Hg 3.14-3.32
Au: 0.2248 0.3843 0.9540 [8 per cell]  1 Au 2.88, 4 Hg 2.90-3.02, 3 Pb 2.97-3.06

5.
The following is a PBE calculation of crystalline Hg3Pb4Au2 at its relaxed geometry, from the Alexandria database.

Results
For the volume, the calculation gives 27.22 Å³ per atom. The value obtained for the total energy is -2.469 eV/atom.

Unit cell a=16.0036 b=4.5878 c=7.1574 alpha=90.00 beta=111.21 gamma=90.00
Closest atoms and distances in Å follow each position.
Space group C2/m (No. 12)
Asymmetric unit:
Hg: 0.0000 0.0000 0.0000 [2 per cell]  4 Au 3.03, 6 Pb 3.31-3.36
Hg: 0.0998 0.0000 0.6532 [4 per cell]  2 Au 2.98, 2 Pb 3.14, 1 Hg 3.15
Pb: 0.0922 0.5000 0.3481 [4 per cell]  2 Au 3.08-3.12, 4 Hg 3.14-3.31
Pb: 0.2254 0.0000 0.1767 [4 per cell]  3 Au 3.02-3.10, 1 Hg 3.36
Au: 0.1073 0.5000 0.9255 [4 per cell]  4 Hg 2.98-3.03, 5 Pb 3.02-3.12

6.
The following is a PBE calculation of crystalline Hg2PbAu at its relaxed geometry, from the Alexandria database.

Results
For the volume, the calculation gives 25.64 Å³ per atom. The value obtained for the total energy is -1.873 eV/atom.

Unit cell a=3.9614 b=5.2532 c=4.9433 alpha=90.00 beta=94.58 gamma=90.00
Closest atoms and distances in Å follow each position.
Space group P2/m (No. 10)
Asymmetric unit:
Hg: 0.2160 0.0000 0.2666 [2 per cell]  3 Hg 2.98-3.09, 2 Au 3.02, 2 Pb 3.18
Pb: 0.5000 0.5000 0.0000 [1 per cell]  4 Au 3.04-3.29, 4 Hg 3.18
Au: 0.0000 0.5000 0.5000 [1 per cell]  4 Hg 3.02, 4 Pb 3.04-3.29

7.
The following is a PBE calculation of crystalline HgPb2Au2 at its relaxed geometry, from the Alexandria database.

Results
For the volume, the calculation gives 25.21 Å³ per atom. The distance to the lowest polymorph of the same formula is 0.02 eV/f.u.

Unit cell a=4.7517 b=5.8859 c=9.0150 alpha=90.00 beta=90.00 gamma=90.00
Closest atoms and distances in Å follow each position.
Space group Immm (No. 71)
Asymmetric unit:
Hg: 0.0000 0.0000 0.0000 [2 per cell]  4 Au 2.85
Pb: 0.0000 0.5000 0.1984 [4 per cell]  6 Au 3.14-3.28, 2 Hg 3.44
Au: 0.0000 0.2336 0.5000 [4 per cell]  1 Au 2.75, 2 Hg 2.85

8.
The following is a PBE calculation of crystalline Hg2PbAu at its relaxed geometry, from the Alexandria database.

Results
For the volume, the calculation gives 25.88 Å³ per atom. The value obtained for the total energy is -1.887 eV/atom.

Unit cell a=4.1511 b=4.1798 c=6.3008 alpha=90.00 beta=108.75 gamma=90.00
Closest atoms and distances in Å follow each position.
Space group Pm (No. 6)
Asymmetric unit:
Hg: 0.0000 0.0000 0.0000 [1 per cell]  1 Au 3.00, 4 Hg 3.05-3.10
Hg: 0.4203 0.5000 0.8524 [1 per cell]  2 Au 2.97, 4 Hg 3.05-3.10, 1 Pb 3.16
Pb: 0.7373 0.5000 0.3802 [1 per cell]  4 Au 3.00-3.07, 1 Hg 3.16
Au: 0.3087 0.0000 0.5009 [1 per cell]  3 Hg 2.97-3.00, 4 Pb 3.00-3.07

9.
The following is a PBE calculation of crystalline Hg2PbAu2 at its relaxed geometry, from the Alexandria database.

Results
For the volume, the calculation gives 24.91 Å³ per atom. The distance to the lowest polymorph of the same formula is 0.04 eV/f.u.

Unit cell a=12.0821 b=3.9589 c=5.4437 alpha=90.00 beta=106.94 gamma=90.00
Closest atoms and distances in Å follow each position.
Space group C2/m (No. 12)
Asymmetric unit:
Hg: 0.1276 0.0000 0.0685 [4 per cell]  4 Au 2.80-3.01, 1 Hg 2.95
Pb: 0.0000 0.5000 0.5000 [2 per cell]  4 Au 3.03
Au: 0.1989 0.0000 0.6234 [4 per cell]  4 Hg 2.80-3.01, 2 Au 2.87, 2 Pb 3.03

10.
The following is a PBE calculation of crystalline Hg2PbAu2 at its relaxed geometry, from the Alexandria database.

Results
For the volume, the calculation gives 25.67 Å³ per atom. The distance to the lowest polymorph of the same formula is 0.00 eV/f.u.

Unit cell a=12.9876 b=6.2378 c=7.9270 alpha=90.00 beta=126.92 gamma=90.00
Closest atoms and distances in Å follow each position.
Space group C2/c (No. 15)
Asymmetric unit:
Hg: 0.2249 0.0414 0.3501 [8 per cell]  4 Au 2.87-3.08, 1 Pb 3.19
Pb: 0.0000 0.3823 0.7500 [4 per cell]  4 Au 2.94-3.03, 2 Hg 3.19
Au: 0.0479 0.1891 0.4647 [8 per cell]  2 Au 2.84-2.88, 4 Hg 2.87-3.08, 2 Pb 2.94-3.03

11.
The following is a PBE calculation of crystalline HgPb3Au at its relaxed geometry, from the Alexandria database.

Results
For the volume, the calculation gives 28.41 Å³ per atom. The distance to the lowest polymorph of the same formula is 0.00 eV/f.u.

Unit cell a=7.9469 b=4.5906 c=8.3288 alpha=90.00 beta=110.74 gamma=90.00
Closest atoms and distances in Å follow each position.
Space group P2_1/m (No. 11)
Asymmetric unit:
Hg: 0.1772 0.2500 0.2844 [2 per cell]  7 Pb 3.09-3.45
Pb: 0.1576 0.2500 0.9068 [2 per cell]  3 Au 2.99-3.31, 1 Hg 3.09
Pb: 0.1658 0.7500 0.5454 [2 per cell]  1 Au 2.91, 2 Hg 3.18
Pb: 0.4723 0.7500 0.2843 [2 per cell]  3 Au 3.00-3.15, 2 Hg 3.28
Au: 0.3987 0.7500 0.9052 [2 per cell]  6 Pb 2.91-3.15, 2 Au 2.92

12.
The following is a PBE calculation of crystalline Hg2PbAu at its relaxed geometry, from the Alexandria database.

Results
For the volume, the calculation gives 24.76 Å³ per atom. The value obtained for the total energy is -1.859 eV/atom.

Unit cell a=11.6648 b=3.5689 c=5.2568 alpha=90.00 beta=115.15 gamma=90.00
Closest atoms and distances in Å follow each position.
Space group C2/m (No. 12)
Asymmetric unit:
Hg: 0.2285 0.0000 0.2281 [4 per cell]  2 Au 3.00, 4 Hg 3.20-3.22
Pb: 0.0000 0.0000 0.5000 [2 per cell]  4 Au 3.18, 6 Hg 3.38-3.52
Au: 0.0000 0.5000 0.0000 [2 per cell]  4 Hg 3.00, 4 Pb 3.18